This record from Alexandria via LeMat-Bulk describes a geometry-optimized BeIn2Au6 structure. The functional is PBE.

E_tot in eV for the cell shown: -29.56
N(E_F) in states/eV per atom: 0.237
Symmetry: No. 38

a b c (Å): 3.6238 6.7842 7.7627
angles (deg): 115.91 90.00 90.00
Closest atoms and distances in Å follow each position.
Positions (direct):
Au1 0.0000 0.7652 0.7901  2 Be 2.50, 1 In 2.79
Au2 0.5000 0.0227 0.6802  1 Be 2.54
Au3 0.5000 0.6087 0.0000  1 Be 2.69, 6 Au 2.89-2.93
Au4 0.5000 0.3425 0.3198  1 Be 2.54
Au5 0.0000 0.2773 0.0000  2 Be 2.59, 2 Au 2.89
Au6 0.0000 0.9751 0.2099  2 Be 2.50, 1 In 2.79
Be1 0.5000 0.0053 0.0000  9 Au 2.50-2.69
In1 0.0000 0.6952 0.3871  7 Au 2.79-3.10
In2 0.0000 0.3080 0.6129  7 Au 2.79-3.10